# PBE-GGA Na3Tc2O8, optimized geometry
data_Na3Tc2O8
_chemical_formula_sum 'Na3 Tc2 O8'
_space_group_name_H-M_alt 'P 1'
_space_group_IT_number 1
_cell_length_a 7.0186
_cell_length_b 7.0186
_cell_length_c 7.0186
_cell_angle_alpha 48.52
_cell_angle_beta 48.52
_cell_angle_gamma 48.52
loop_
_space_group_symop_operation_xyz
'x,y,z'
loop_
_atom_site_label
_atom_site_fract_x
_atom_site_fract_y
_atom_site_fract_z
_atom_site_occupancy
Na1 0.0000 0.0000 0.0000 1
Na2 0.1835 0.1835 0.1835 1
Na3 0.8165 0.8165 0.8165 1
O1 0.7371 0.7371 0.2380 1
O2 0.7620 0.2629 0.2629 1
O3 0.2629 0.7620 0.2629 1
O4 0.3032 0.3032 0.3032 1
O5 0.6968 0.6968 0.6968 1
O6 0.7371 0.2380 0.7371 1
O7 0.2380 0.7371 0.7371 1
O8 0.2629 0.2629 0.7620 1
Tc1 0.3978 0.3978 0.3978 1
Tc2 0.6022 0.6022 0.6022 1
# - Total moment: 1.001 μB/f.u.
# - Calculated total energy: -6.538 eV per atom